Entry from Alexandria via LeMat-Bulk: crystalline CdP2Cl at its relaxed geometry (PBE).

Properties
* calculated volume: 96.3 Å³ per cell
* symmetry: P4mm (99)
* calculated total energy: -3.519 eV per atom

a b c (Å): 3.2979 3.2979 8.8513
angles (deg): 90.00 90.00 90.00
With the nearest neighbours (Å) after each atom.
Positions (direct):
Cd 0.0000 0.0000 0.0000  1 P 2.52, 4 Cl 2.75
P 0.0000 0.0000 0.7149  4 P 2.42, 1 Cd 2.52
P 0.5000 0.5000 0.6399  4 P 2.42
Cl 0.5000 0.5000 0.1645  4 Cd 2.75